No. 1
# CrNi3Rh4 PBE optimized geometry
# Size of the total moment, μB per cell: 1.189
# Electronic total energy, eV for the cell shown: -106.468
# Energy of formation from the pure elements, eV per atom: 0.39
# Excess energy over the best structure of this formula in the dataset, meV per atom: 404
data_CrNi3Rh4
_chemical_formula_sum 'Cr2 Ni6 Rh8'
_symmetry_space_group_name_H-M 'C 1 2/m 1'
_symmetry_Int_Tables_number 12
_symmetry_space_group_name_Hall '-C 2y'
_cell_length_a 20.512
_cell_length_b 2.681
_cell_length_c 4.241
_cell_angle_alpha 90.00
_cell_angle_beta 101.17
_cell_angle_gamma 90.00
loop_
_atom_site_label
_atom_site_type_symbol
_atom_site_fract_x
_atom_site_fract_y
_atom_site_fract_z
Cr1 Cr 0.000 0.000 0.000
Ni1 Ni 0.000 0.500 0.500
Ni2 Ni 0.158 0.500 0.663
Rh1 Rh 0.097 0.500 0.108
Rh2 Rh 0.230 0.500 0.231

***

No. 2
# Cr2NiRh4 PBE optimized geometry
# Size of the total moment, μB per cell: 3.036
# Electronic total energy, eV for the cell shown: -108.731
# Energy of formation from the pure elements, eV per atom: 0.01
# Excess energy over the best structure of this formula in the dataset, meV per atom: 0
data_Cr2NiRh4
_chemical_formula_sum 'Cr4 Ni2 Rh8'
_symmetry_space_group_name_H-M 'P 1'
_symmetry_Int_Tables_number 1
_symmetry_space_group_name_Hall 'P 1'
_cell_length_a 4.694
_cell_length_b 6.460
_cell_length_c 6.644
_cell_angle_alpha 86.43
_cell_angle_beta 69.33
_cell_angle_gamma 81.81
loop_
_atom_site_label
_atom_site_type_symbol
_atom_site_fract_x
_atom_site_fract_y
_atom_site_fract_z
Cr1 Cr 0.000 0.000 0.000
Cr2 Cr 0.049 0.142 0.363
Cr3 Cr 0.510 0.002 0.995
Cr4 Cr 0.786 0.644 0.011
Ni1 Ni 0.214 0.512 0.564
Ni2 Ni 0.776 0.503 0.440
Rh1 Rh 0.177 0.360 0.012
Rh2 Rh 0.207 0.706 0.218
Rh3 Rh 0.394 0.141 0.656
Rh4 Rh 0.428 0.705 0.786
Rh5 Rh 0.568 0.294 0.229
Rh6 Rh 0.596 0.876 0.351
Rh7 Rh 0.787 0.311 0.788
Rh8 Rh 0.953 0.881 0.648

***

No. 3
# CrNiRh2 PBE optimized geometry
# Size of the total moment, μB per cell: 3.009
# Electronic total energy, eV for the cell shown: -60.191
# Energy of formation from the pure elements, eV per atom: 0.00
data_CrNiRh2
_chemical_formula_sum 'Cr2 Ni2 Rh4'
_symmetry_space_group_name_H-M 'C 1 2/m 1'
_symmetry_Int_Tables_number 12
_symmetry_space_group_name_Hall '-C 2y'
_cell_length_a 8.622
_cell_length_b 2.677
_cell_length_c 4.608
_cell_angle_alpha 90.00
_cell_angle_beta 100.55
_cell_angle_gamma 90.00
loop_
_atom_site_label
_atom_site_type_symbol
_atom_site_fract_x
_atom_site_fract_y
_atom_site_fract_z
Cr1 Cr 0.000 0.000 0.000
Ni1 Ni 0.000 0.500 0.500
Rh1 Rh 0.247 0.500 0.250